The following is a DFT calculation (PBE) of a relaxed structure of Pu3In2Rh3.

```
data_Pu3In2Rh3
_chemical_formula_sum 'Pu12 In8 Rh12'
_cell_length_a 4.4455
_cell_length_b 11.4155
_cell_length_c 13.6266
_cell_angle_alpha 90.00
_cell_angle_beta 90.00
_cell_angle_gamma 90.00
_symmetry_space_group_name_H-M 'C m c m'
_symmetry_Int_Tables_number 63
_symmetry_space_group_name_Hall '-C 2c 2'
loop_
_atom_site_label
_atom_site_fract_x
_atom_site_fract_y
_atom_site_fract_z
Pu1 0.0000 0.0577 0.1173
Pu2 0.0000 0.3378 0.2500
In1 0.0000 0.2362 0.5850
Rh1 0.0000 0.3926 0.7500
Rh2 0.0000 0.4058 0.0600
```

Properties
The value obtained for the formation energy is -36.6 kJ/mol of atoms. The magnetization is 5.26 μB per formula unit.